Density functional theory data (PBEsol) for a relaxed CuTcP2 crystal.

Values from the calculation:
E above lowest polymorph, meV per atom: 0.0
Formation enthalpy at 0 K, eV per atom: -0.15

Cell lengths 6.2201, 6.2201, 6.2201 Å; angles 152.94, 149.72, 41.05 degrees
With the nearest neighbours (Å) after each atom.
Fractional coordinates of all 4 atoms:
Cu 0.0000 0.0000 0.0000  6 P 2.39-2.49
Tc 0.7655 0.2655 0.5000  6 P 2.39
P 0.3498 0.8498 0.5000  2 Cu 2.39, 4 Tc 2.39
P 0.6030 0.6030 0.0000  2 Tc 2.39, 4 Cu 2.49